Entry 1:
The following is a DFT calculation (GGA-PBE) of CuBiP2Cl after structural relaxation.

Computed properties:
energy relative to the elements, uncorrected: 0.415 eV/atom
DOS at the Fermi energy: 3.4 states/eV/cell
E: -3.71 eV/atom

Lattice parameters (Å, degrees): 4.6374 4.6374 4.6756 90.00 90.00 90.00
Space group P4/mmm (No. 123)
Symmetry-distinct sites (fractional):
Cu1 0.0000 0.0000 0.0000 [1 per cell]
Bi1 0.5000 0.5000 0.5000 [1 per cell]
P1 0.0000 0.5000 0.0000 [2 per cell]
Cl1 0.0000 0.0000 0.5000 [1 per cell]


Entry 2:
The following is a DFT calculation (GGA-PBE) of Ac5Sm4Er after structural relaxation.

Computed properties:
energy of formation from the pure elements: 0.4 eV per formula unit
DOS at the Fermi energy: 15.6 states/eV/cell
E: -4.36 eV/atom

Lattice parameters (Å, degrees): 3.8744 3.8744 25.7276 90.00 90.00 90.00
Space group P4/mmm (No. 123)
Symmetry-distinct sites (fractional):
Ac1 0.0000 0.0000 0.0000 [1 per cell]
Ac2 0.0000 0.0000 0.2019 [2 per cell]
Ac3 0.0000 0.0000 0.4031 [2 per cell]
Sm1 0.5000 0.5000 0.1010 [2 per cell]
Sm2 0.5000 0.5000 0.3029 [2 per cell]
Er1 0.5000 0.5000 0.5000 [1 per cell]


Entry 3:
The following is a DFT calculation (GGA-PBE) of Pm2YIr9 after structural relaxation.

Computed properties:
energy of formation from the pure elements: -6.4 eV per formula unit
DOS at the Fermi energy: 33.3 states/eV/cell
E: -8.51 eV/atom

Lattice parameters (Å, degrees): 5.3404 5.3404 26.5706 90.00 90.00 120.00
Space group R-3m (No. 166, hexagonal axes)
Symmetry-distinct sites (fractional):
Pm1 0.0000 0.0000 0.1393 [6 per cell]
Y1 0.0000 0.0000 0.0000 [3 per cell]
Ir1 0.0000 0.0000 0.3323 [6 per cell]
Ir2 0.0000 0.0000 0.5000 [3 per cell]
Ir3 0.0025 0.5013 0.0809 [18 per cell]


Entry 4:
The following is a DFT calculation (GGA-PBE) of Ca8GaIr2 after structural relaxation.

Computed properties:
energy of formation from the pure elements: -3.0 eV per formula unit
DOS at the Fermi energy: 16.6 states/eV/cell
E: -3.61 eV/atom

Lattice parameters (Å, degrees): 9.0077 13.1790 5.6883 90.00 103.96 90.00
Space group Cm (No. 8)
Symmetry-distinct sites (fractional):
Ca1 0.0000 0.0000 0.0000 [2 per cell]
Ca2 0.0727 0.3653 0.7830 [4 per cell]
Ca3 0.1828 0.1347 0.6198 [4 per cell]
Ca4 0.2559 0.5000 0.4084 [2 per cell]
Ca5 0.3773 0.2422 0.2029 [4 per cell]
Ga1 0.3765 0.0000 0.2429 [2 per cell]
Ir1 0.3780 0.3160 0.7034 [4 per cell]


Entry 5:
The following is a DFT calculation (GGA-PBE) of MgMnAl2 after structural relaxation.

Computed properties:
energy of formation from the pure elements: 0.2 eV per formula unit
DOS at the Fermi energy: 2.2 states/eV/cell
E: -4.52 eV/atom

Lattice parameters (Å, degrees): 4.5216 4.5216 3.0679 90.00 90.00 90.00
Space group P4/mmm (No. 123)
Symmetry-distinct sites (fractional):
Mg1 0.0000 0.0000 0.0000 [1 per cell]
Mn1 0.5000 0.5000 0.0000 [1 per cell]
Al1 0.0000 0.5000 0.5000 [2 per cell]


Entry 6:
The following is a DFT calculation (GGA-PBE) of Y3MgN after structural relaxation.

Computed properties:
energy relative to the elements, uncorrected: -0.473 eV/atom
DOS at the Fermi energy: 7.3 states/eV/cell
E: -6.34 eV/atom

Lattice parameters (Å, degrees): 3.9503 3.9503 19.3511 90.00 90.00 120.00
Space group P6_3/mmc (No. 194)
Symmetry-distinct sites (fractional):
Y1 0.0000 0.0000 0.2500 [2 per cell]
Y2 0.3333 0.6667 0.1239 [4 per cell]
Mg1 0.0000 0.0000 0.0000 [2 per cell]
N1 0.3333 0.6667 0.2500 [2 per cell]


Entry 7:
The following is a DFT calculation (GGA-PBE) of TaRe2Ag after structural relaxation.

Computed properties:
energy of formation from the pure elements: 1.8 eV per formula unit
DOS at the Fermi energy: 2.9 states/eV/cell
E: -9.45 eV/atom

Lattice parameters (Å, degrees): 2.6853 2.6853 9.1072 90.00 90.00 90.00
Space group P4/mmm (No. 123)
Symmetry-distinct sites (fractional):
Ta1 0.0000 0.0000 0.0000 [1 per cell]
Re1 0.5000 0.5000 0.2483 [2 per cell]
Ag1 0.0000 0.0000 0.5000 [1 per cell]


Entry 8:
The following is a DFT calculation (GGA-PBE) of HoMgAg3 after structural relaxation.

Computed properties:
energy of formation from the pure elements: -1.0 eV per formula unit
DOS at the Fermi energy: 4.7 states/eV/cell
E: -3.14 eV/atom

Lattice parameters (Å, degrees): 5.3499 5.7565 6.8467 90.00 92.44 90.00
Space group P2_1/m (No. 11)
Symmetry-distinct sites (fractional):
Ho1 0.1466 0.2500 0.3606 [2 per cell]
Mg1 0.0971 0.7500 0.0989 [2 per cell]
Ag1 0.3414 0.7500 0.4541 [2 per cell]
Ag2 0.3527 0.0035 0.8161 [4 per cell]


Number 8 is which compound?
HoMgAg3